[1]
# K2TcNi

Crystalline K2TcNi at its relaxed geometry (PBE-GGA, Alexandria).

Cell lengths 6.2199, 6.2199, 6.2199 Å; angles 142.66, 142.66, 53.84 degrees
Last column: nearest neighbours and their distance in Å.
Sites, in units of the cell vectors:
K (0.2500, 0.7500, 0.5000)  4 K 2.82
K (0.7500, 0.2500, 0.5000)  4 K 2.82
Tc (0.0000, 0.0000, 0.0000)  4 Ni 2.82
Ni (0.5000, 0.5000, 0.0000)  4 Tc 2.82

Properties
The value obtained for the polymorph energy (0 for the lowest one) is 0.626 eV per atom. The value obtained for the density is 4.4 g cm⁻³. For the formation energy, the calculation gives 1.34 eV per atom.

=====

[2]
# KTc2Ni

Crystalline KTc2Ni at its relaxed geometry (PBE-GGA, Alexandria).

Cell lengths 2.6848, 4.7614, 5.2321 Å; angles 90.00, 90.00, 90.00 degrees
Last column: nearest neighbours and their distance in Å.
Sites, in units of the cell vectors:
K (0.0000, 0.0000, 0.0000)  2 K 2.68, 4 Ni 2.73, 4 Tc 2.94
Tc (0.0000, 0.5000, 0.5000)  6 Tc 2.68-2.73, 4 Ni 2.94
Tc (0.5000, 0.0000, 0.5000)  6 Tc 2.68-2.73, 4 K 2.94
Ni (0.5000, 0.5000, 0.0000)  2 Ni 2.68, 4 K 2.73, 4 Tc 2.94

Properties
The value obtained for the polymorph energy (0 for the lowest one) is 0.602 eV per atom. The value obtained for the density is 7.3 g cm⁻³. For the formation energy, the calculation gives 1.25 eV per atom.

=====

[3]
# KTc3Ni

Crystalline KTc3Ni at its relaxed geometry (PBE-GGA, Alexandria).

Cell lengths 4.6128, 4.6128, 4.6128 Å; angles 90.00, 90.00, 90.00 degrees
Last column: nearest neighbours and their distance in Å.
Sites, in units of the cell vectors:
K (0.0000, 0.0000, 0.0000)  12 Tc 3.26
Tc (0.0000, 0.5000, 0.5000)  2 Ni 2.31
Tc (0.5000, 0.0000, 0.5000)  2 Ni 2.31
Tc (0.5000, 0.5000, 0.0000)  2 Ni 2.31
Ni (0.5000, 0.5000, 0.5000)  6 Tc 2.31

Properties
The value obtained for the polymorph energy (0 for the lowest one) is 0.000 eV per atom. The value obtained for the density is 6.6 g cm⁻³. For the formation energy, the calculation gives 1.81 eV per atom.

=====

[4]
# KTcNi2

Crystalline KTcNi2 at its relaxed geometry (PBE-GGA, Alexandria).

Cell lengths 4.5513, 4.5513, 4.5513 Å; angles 60.00, 60.00, 60.00 degrees
Last column: nearest neighbours and their distance in Å.
Sites, in units of the cell vectors:
K (0.0000, 0.0000, 0.0000)  8 Ni 2.79
Tc (0.5000, 0.5000, 0.5000)  8 Ni 2.79
Ni (0.2500, 0.2500, 0.2500)  4 Tc 2.79, 4 K 2.79
Ni (0.7500, 0.7500, 0.7500)  4 Tc 2.79, 4 K 2.79

Properties
The value obtained for the polymorph energy (0 for the lowest one) is 0.748 eV per atom. The value obtained for the density is 6.3 g cm⁻³. For the formation energy, the calculation gives 1.21 eV per atom.

=====

[5]
# KTc2Ni

Crystalline KTc2Ni at its relaxed geometry (PBE-GGA, Alexandria).

Cell lengths 2.6208, 2.6208, 9.7840 Å; angles 90.00, 90.00, 90.00 degrees
Last column: nearest neighbours and their distance in Å.
Sites, in units of the cell vectors:
K (0.0000, 0.0000, 0.0000)  4 K 2.62
Tc (0.5000, 0.5000, 0.3082)  4 Tc 2.62, 4 Ni 2.64
Tc (0.5000, 0.5000, 0.6918)  4 Tc 2.62, 4 Ni 2.64
Ni (0.0000, 0.0000, 0.5000)  4 Ni 2.62, 8 Tc 2.64

Properties
The value obtained for the polymorph energy (0 for the lowest one) is 0.151 eV per atom. The value obtained for the density is 7.3 g cm⁻³. For the formation energy, the calculation gives 0.80 eV per atom.

=====

[6]
# KTcNi2

Crystalline KTcNi2 at its relaxed geometry (PBE-GGA, Alexandria).

Cell lengths 2.6325, 4.0699, 7.1417 Å; angles 90.00, 100.58, 90.00 degrees
Last column: nearest neighbours and their distance in Å.
Sites, in units of the cell vectors:
K (0.0000, 0.0000, 0.0000)  2 K 2.63
Tc (0.3009, 0.5000, 0.6123)  6 Ni 2.47-2.54, 2 Tc 2.63
Ni (0.6504, 0.5000, 0.3145)  4 Ni 2.43-2.63, 2 Tc 2.47
Ni (0.7488, 0.0000, 0.5046)  4 Ni 2.43-2.63, 4 Tc 2.54

Properties
The value obtained for the polymorph energy (0 for the lowest one) is 0.229 eV per atom. The value obtained for the density is 5.6 g cm⁻³. For the formation energy, the calculation gives 0.69 eV per atom.

=====

[7]
# K2TcNi

Crystalline K2TcNi at its relaxed geometry (PBE-GGA, Alexandria).

Cell lengths 11.3813, 11.3813, 11.3813 Å; angles 14.59, 14.59, 14.59 degrees
Last column: nearest neighbours and their distance in Å.
Sites, in units of the cell vectors:
K (0.2459, 0.2459, 0.2459)  6 K 2.89, 3 Ni 3.15
K (0.7541, 0.7541, 0.7541)  6 K 2.89, 3 Ni 3.15
Tc (0.0000, 0.0000, 0.0000)  6 Tc 2.89
Ni (0.5000, 0.5000, 0.5000)  6 Ni 2.89, 6 K 3.15

Properties
The value obtained for the polymorph energy (0 for the lowest one) is 0.542 eV per atom. The value obtained for the density is 4.8 g cm⁻³. For the formation energy, the calculation gives 1.26 eV per atom.

=====

[8]
# KTcNi2

Crystalline KTcNi2 at its relaxed geometry (PBE-GGA, Alexandria).

Cell lengths 9.8196, 9.8196, 9.8196 Å; angles 16.03, 16.03, 16.03 degrees
Last column: nearest neighbours and their distance in Å.
Sites, in units of the cell vectors:
K (0.0000, 0.0000, 0.0000)  6 K 2.74
Tc (0.2276, 0.2276, 0.2276)  3 Ni 2.53, 6 Tc 2.74
Ni (0.4929, 0.4929, 0.4929)  9 Ni 2.50-2.74, 3 Tc 2.53
Ni (0.7596, 0.7596, 0.7596)  9 Ni 2.50-2.74

Properties
The value obtained for the polymorph energy (0 for the lowest one) is 0.303 eV per atom. The value obtained for the density is 6.7 g cm⁻³. For the formation energy, the calculation gives 0.77 eV per atom.

=====

Number 1: E -12.98 eV/cell, V 21.99 Å³/atom, Fermi-level density of states 2.1 states/eV/cell. Number 2: E -22.61 eV/cell, V 16.72 Å³/atom, Fermi-level density of states 5.1 states/eV/cell. Number 3: E -28.94 eV/cell, V 19.63 Å³/atom, Fermi-level density of states 13.6 states/eV/cell. Number 4: E -18.17 eV/cell, V 16.67 Å³/atom, Fermi-level density of states 2.4 states/eV/cell. Number 5: E -24.41 eV/cell, V 16.80 Å³/atom, Fermi-level density of states 7.6 states/eV/cell. Number 6: E -20.25 eV/cell, V 18.80 Å³/atom, Fermi-level density of states 5.9 states/eV/cell. Number 7: E -13.32 eV/cell, V 20.37 Å³/atom, Fermi-level density of states 2.8 states/eV/cell. Number 8: E -19.95 eV/cell, V 15.73 Å³/atom, Fermi-level density of states 5.9 states/eV/cell.